# V2O5 | Alexandria via LeMat-Bulk | PBE+U | optimized geometry
# - Crystal system: orthorhombic
# - E: -7.461 eV/atom
data_V2O5
_chemical_formula_sum 'V8 O20'
_cell_length_a 8.322
_cell_length_b 6.574
_cell_length_c 7.725
_cell_angle_alpha 90.00
_cell_angle_beta 90.00
_cell_angle_gamma 90.00
_symmetry_space_group_name_H-M 'P 1'
_symmetry_Int_Tables_number 1
loop_
_symmetry_equiv_pos_as_xyz
'x,y,z'
loop_
_atom_site_label
_atom_site_type_symbol
_atom_site_fract_x
_atom_site_fract_y
_atom_site_fract_z
V1 V 0.122 0.250 0.109
V2 V 0.180 0.750 0.223
V3 V 0.320 0.250 0.723
V4 V 0.378 0.750 0.609
V5 V 0.622 0.250 0.391
V6 V 0.680 0.750 0.277
V7 V 0.820 0.250 0.777
V8 V 0.878 0.750 0.891
O1 O 0.052 0.750 0.012
O2 O 0.131 0.031 0.237
O3 O 0.131 0.469 0.237
O4 O 0.140 0.250 0.648
O5 O 0.218 0.750 0.463
O6 O 0.282 0.250 0.963
O7 O 0.360 0.750 0.148
O8 O 0.369 0.531 0.737
O9 O 0.369 0.969 0.737
O10 O 0.448 0.250 0.512
O11 O 0.552 0.750 0.488
O12 O 0.631 0.031 0.263
O13 O 0.631 0.469 0.263
O14 O 0.640 0.250 0.852
O15 O 0.718 0.750 0.037
O16 O 0.782 0.250 0.537
O17 O 0.860 0.750 0.352
O18 O 0.869 0.531 0.763
O19 O 0.869 0.969 0.763
O20 O 0.948 0.250 0.988